Computed, not measured: crystalline MoN2F4 at its relaxed geometry at the PBE with a Hubbard U level of DFT.

Output
Fermi-level density of states in states/eV/cell: 0.00
Total energy in eV/cell: -43.06

Unit cell a=3.3430 b=4.7081 c=8.8025 alpha=103.94 beta=94.57 gamma=90.75
Closest atoms and distances in Å follow each position.
Fractional positions:
Mo  0.0000  0.0000  0.0000  6 F 1.92-2.13
N  0.4812  0.0880  0.4679  1 N 1.11
N  0.5188  0.9120  0.5321  1 N 1.11
F  0.0189  0.7494  0.1424  1 Mo 1.92
F  0.4863  0.7844  0.8841  2 Mo 2.05-2.13
F  0.5137  0.2156  0.1159  2 Mo 2.05-2.13
F  0.9811  0.2506  0.8576  1 Mo 1.92